(1)
This record from Alexandria via LeMat-Bulk describes a geometry-optimized PmSm6Y5 structure. The functional is GGA-PBE.

The formation energy comes out at 14 meV per atom. The value obtained for the volume is 794.9 Å³ per cell. As for the crystal system: monoclinic. Its total magnetization is 0.00 μB per atom.

The structure belongs to space group C2/m (No. 12); the cell edges are 17.659, 7.223 and 6.232 Å and the angles 90.00°, 90.25° and 90.00°. The asymmetric unit holds Pm at (0.000, 0.000, 0.000), Sm at (0.000, 0.250, 0.500), Sm at (0.167, 0.250, 0.167), Y at (0.000, 0.500, 0.000), Y at (0.167, 0.000, 0.667) and Y at (0.167, 0.500, 0.666).

=====

(2)
This record from Alexandria via LeMat-Bulk describes a geometry-optimized Pm6Sm3Y2 structure. The functional is GGA-PBE.

The formation energy comes out at 12 meV per atom. For the offset from the most stable computed form, the calculation gives 0 meV per atom. The value obtained for the volume is 1115.9 Å³ per cell. As for the crystal system: trigonal. Its total magnetization is 0.00 μB per atom.

The structure belongs to space group R-3m (No. 166, hexagonal axes); the cell edges are 3.6321, 3.6321 and 97.6697 Å and the angles 90.00°, 90.00° and 120.00°. The asymmetric unit holds Pm at (0.0000, 0.0000, 0.0913), Pm at (0.0000, 0.0000, 0.1820), Pm at (0.0000, 0.0000, 0.3638), Sm at (0.0000, 0.0000, 0.0000), Sm at (0.0000, 0.0000, 0.2725) and Y at (0.0000, 0.0000, 0.4546).